1.
Na2CoSe2: relaxed, PBEsol.

The structure belongs to space group Ibam (No. 72); the cell edges are 6.393, 11.893 and 5.719 Å and the angles 90.00°, 90.00° and 90.00°. The asymmetric unit holds Na at (0.171, 0.141, 0.000), Co at (0.000, 0.500, 0.250) and Se at (0.208, 0.387, 0.000).

The size of the total moment comes out at 2.86 μB per formula unit. As for the uncorrected formation energy: -3.1 eV/f.u. Its density is 4.014 Mg/m³. For the total energy, the calculation gives -4.275 eV per atom.



2.
LiCu2: relaxed, PBEsol.

The structure belongs to space group P-3m1 (No. 164); the cell edges are 2.5370, 2.5370 and 6.3159 Å and the angles 90.00°, 90.00° and 120.00°. The asymmetric unit holds Li at (0.0000, 0.0000, 0.0000) and Cu at (0.3333, 0.6667, 0.3367).

The size of the total moment comes out at 0.00 μB per formula unit. Its density is 6.322 Mg/m³. For the total energy, the calculation gives -3.535 eV per atom.



3.
HgHPd2Cl: relaxed, PBEsol.

The structure belongs to space group P4/mmm (No. 123); the cell edges are 5.131, 5.131 and 5.077 Å and the angles 90.00°, 90.00° and 90.00°. The asymmetric unit holds Hg at (0.000, 0.000, 0.000), H at (0.500, 0.500, 0.500), Pd at (0.000, 0.500, 0.000) and Cl at (0.000, 0.000, 0.500).

The size of the total moment comes out at 0.84 μB per formula unit. Its density is 5.589 Mg/m³. For the total energy, the calculation gives -2.270 eV per atom.



4.
CaTiCuW2: relaxed, PBEsol.

The structure belongs to space group P4/mmm (No. 123); the cell edges are 4.580, 4.580 and 4.848 Å and the angles 90.00°, 90.00° and 90.00°. The asymmetric unit holds Ca at (0.000, 0.000, 0.000), Ti at (0.500, 0.500, 0.500), Cu at (0.500, 0.500, 0.000) and W at (0.000, 0.500, 0.500).

The size of the total moment comes out at 0.00 μB per formula unit. Its density is 8.477 Mg/m³. For the total energy, the calculation gives -7.089 eV per atom.



5.
Hf2Ga2Ag: relaxed, PBEsol.

The structure belongs to space group P4/mbm (No. 127); the cell edges are 6.562, 6.562 and 4.090 Å and the angles 90.00°, 90.00° and 90.00°. The asymmetric unit holds Hf at (0.167, 0.333, 0.000), Ga at (0.134, 0.634, 0.500) and Ag at (0.000, 0.000, 0.500).

The size of the total moment comes out at 0.00 μB per formula unit. Its density is 11.395 Mg/m³. For the total energy, the calculation gives -6.622 eV per atom.



6.
NdIn5Rh: relaxed, PBEsol.

The structure belongs to space group P4/mmm (No. 123); the cell edges are 4.611, 4.611 and 7.470 Å and the angles 90.00°, 90.00° and 90.00°. The asymmetric unit holds Nd at (0.000, 0.000, 0.000), In at (0.000, 0.500, 0.304), In at (0.500, 0.500, 0.000) and Rh at (0.000, 0.000, 0.500).

The size of the total moment comes out at 0.00 μB per formula unit. Its density is 8.587 Mg/m³. For the total energy, the calculation gives -4.529 eV per atom.



7.
Be3Ag: relaxed, PBEsol.

The structure belongs to space group Cmcm (No. 63); the cell edges are 5.415, 7.976 and 3.787 Å and the angles 90.00°, 90.00° and 90.00°. The asymmetric unit holds Be at (0.000, 0.153, 0.250), Be at (0.207, 0.092, 0.750) and Ag at (0.000, 0.359, 0.750).

Its excess energy over the best structure of this formula in the dataset is 0.000 eV/atom. The size of the total moment comes out at 0.00 μB per formula unit. Its density is 5.479 Mg/m³. For the total energy, the calculation gives -3.724 eV per atom.



8.
NiAsSe: relaxed, PBEsol.

The structure belongs to space group P2_13 (No. 198); the cell edges are 5.778, 5.778 and 5.778 Å and the angles 90.00°, 90.00° and 90.00°. The asymmetric unit holds Ni at (0.003, 0.003, 0.003), As at (0.125, 0.875, 0.375) and Se at (0.123, 0.623, 0.877).

The size of the total moment comes out at 0.00 μB per formula unit. As for the uncorrected formation energy: -1.0 eV/f.u. Its density is 7.321 Mg/m³. For the total energy, the calculation gives -5.387 eV per atom.